# 1
A relaxed structure of Zn2SN. Source: Alexandria via LeMat-Bulk, functional PBE-GGA.

a = 5.936 Å, b = 5.936 Å, c = 5.936 Å
α = 90.00°, β = 90.00°, γ = 90.00°
Fractional positions:
Zn1 0.250 0.250 0.250
Zn2 0.250 0.250 0.750
Zn3 0.250 0.750 0.250
Zn4 0.250 0.750 0.750
Zn5 0.750 0.250 0.250
Zn6 0.750 0.250 0.750
Zn7 0.750 0.750 0.250
Zn8 0.750 0.750 0.750
S1 0.000 0.000 0.000
S2 0.000 0.500 0.500
S3 0.500 0.000 0.500
S4 0.500 0.500 0.000
N1 0.000 0.000 0.500
N2 0.000 0.500 0.000
N3 0.500 0.000 0.000
N4 0.500 0.500 0.500

## Properties
**Energy relative to the lowest polymorph listed for this composition**: 906.0 meV/atom


# 2
A relaxed structure of Zn2SN. Source: Alexandria via LeMat-Bulk, functional PBE-GGA.

a = 5.055 Å, b = 5.055 Å, c = 9.768 Å
α = 90.00°, β = 90.00°, γ = 90.00°
Fractional positions:
Zn1 0.182 0.250 0.125
Zn2 0.250 0.682 0.375
Zn3 0.250 0.818 0.875
Zn4 0.318 0.250 0.625
Zn5 0.682 0.750 0.625
Zn6 0.750 0.182 0.875
Zn7 0.750 0.318 0.375
Zn8 0.818 0.750 0.125
S1 0.000 0.000 0.500
S2 0.000 0.500 0.750
S3 0.500 0.000 0.250
S4 0.500 0.500 0.000
N1 0.000 0.000 0.000
N2 0.000 0.500 0.250
N3 0.500 0.000 0.750
N4 0.500 0.500 0.500

## Properties
**Energy relative to the lowest polymorph listed for this composition**: 0.0 meV/atom


# 3
A relaxed structure of ZrZnS2N. Source: Alexandria via LeMat-Bulk, functional PBE-GGA.

a = 5.087 Å, b = 5.087 Å, c = 4.130 Å
α = 90.00°, β = 90.00°, γ = 90.00°
Fractional positions:
Zr1 0.000 0.000 0.000
Zn1 0.500 0.500 0.500
S1 0.000 0.500 0.000
S2 0.500 0.000 0.000
N1 0.000 0.000 0.500

## Properties
**Energy relative to the lowest polymorph listed for this composition**: 0.0 meV/atom


# 4
A relaxed structure of ZrZnS2N. Source: Alexandria via LeMat-Bulk, functional PBE-GGA.

a = 4.667 Å, b = 4.667 Å, c = 3.732 Å
α = 90.00°, β = 90.00°, γ = 90.00°
Fractional positions:
Zr1 0.000 0.000 0.000
Zn1 0.500 0.500 0.500
S1 0.000 0.500 0.500
S2 0.500 0.000 0.500
N1 0.500 0.500 0.000

## Properties
**Energy relative to the lowest polymorph listed for this composition**: 329.5 meV/atom


# 5
A relaxed structure of Zr2SN. Source: Alexandria via LeMat-Bulk, functional PBE-GGA.

a = 3.444 Å, b = 3.444 Å, c = 17.939 Å
α = 90.00°, β = 90.00°, γ = 120.00°
Fractional positions:
Zr1 0.000 0.000 0.231
Zr2 0.000 0.000 0.769
Zr3 0.333 0.667 0.436
Zr4 0.333 0.667 0.897
Zr5 0.667 0.333 0.103
Zr6 0.667 0.333 0.564
S1 0.000 0.000 0.000
S2 0.333 0.667 0.667
S3 0.667 0.333 0.333
N1 0.000 0.000 0.500
N2 0.333 0.667 0.167
N3 0.667 0.333 0.833

## Properties
**Energy relative to the lowest polymorph listed for this composition**: 19.9 meV/atom


# 6
A relaxed structure of Zr2SN. Source: Alexandria via LeMat-Bulk, functional PBE-GGA.

a = 6.130 Å, b = 6.130 Å, c = 6.130 Å
α = 90.00°, β = 90.00°, γ = 90.00°
Fractional positions:
Zr1 0.250 0.250 0.250
Zr2 0.250 0.250 0.750
Zr3 0.250 0.750 0.250
Zr4 0.250 0.750 0.750
Zr5 0.750 0.250 0.250
Zr6 0.750 0.250 0.750
Zr7 0.750 0.750 0.250
Zr8 0.750 0.750 0.750
S1 0.000 0.000 0.000
S2 0.000 0.500 0.500
S3 0.500 0.000 0.500
S4 0.500 0.500 0.000
N1 0.000 0.000 0.500
N2 0.000 0.500 0.000
N3 0.500 0.000 0.000
N4 0.500 0.500 0.500

## Properties
**Energy relative to the lowest polymorph listed for this composition**: 713.0 meV/atom


# 7
A relaxed structure of ZrSN. Source: Alexandria via LeMat-Bulk, functional PBE-GGA.

a = 3.901 Å, b = 6.061 Å, c = 4.384 Å
α = 90.00°, β = 107.29°, γ = 90.00°
Fractional positions:
Zr1 0.000 0.000 0.000
Zr2 0.500 0.500 0.000
S1 0.000 0.244 0.500
S2 0.500 0.744 0.500
N1 0.000 0.658 0.000
N2 0.500 0.158 0.000

## Properties
**Energy relative to the lowest polymorph listed for this composition**: 304.2 meV/atom


# 8
A relaxed structure of ZrSN. Source: Alexandria via LeMat-Bulk, functional PBE-GGA.

a = 3.231 Å, b = 16.165 Å, c = 3.437 Å
α = 90.00°, β = 90.00°, γ = 90.00°
Fractional positions:
Zr1 0.000 0.177 0.250
Zr2 0.000 0.823 0.750
Zr3 0.500 0.323 0.750
Zr4 0.500 0.677 0.250
S1 0.000 0.462 0.750
S2 0.000 0.538 0.250
S3 0.500 0.038 0.250
S4 0.500 0.962 0.750
N1 0.000 0.312 0.250
N2 0.000 0.688 0.750
N3 0.500 0.188 0.750
N4 0.500 0.812 0.250

## Properties
**Energy relative to the lowest polymorph listed for this composition**: 372.5 meV/atom


# 9
A relaxed structure of ZrSN2. Source: Alexandria via LeMat-Bulk, functional PBE-GGA.

a = 3.308 Å, b = 3.308 Å, c = 17.937 Å
α = 90.00°, β = 90.00°, γ = 120.00°
Fractional positions:
Zr1 0.000 0.000 0.000
Zr2 0.333 0.667 0.667
Zr3 0.667 0.333 0.333
S1 0.000 0.000 0.500
S2 0.333 0.667 0.167
S3 0.667 0.333 0.833
N1 0.000 0.000 0.397
N2 0.000 0.000 0.603
N3 0.333 0.667 0.064
N4 0.333 0.667 0.269
N5 0.667 0.333 0.731
N6 0.667 0.333 0.936


# 10
A relaxed structure of ZrSN3. Source: Alexandria via LeMat-Bulk, functional PBE-GGA.

a = 3.601 Å, b = 3.601 Å, c = 3.601 Å
α = 90.00°, β = 90.00°, γ = 90.00°
Fractional positions:
Zr1 0.000 0.000 0.000
S1 0.500 0.500 0.500
N1 0.000 0.500 0.500
N2 0.500 0.000 0.500
N3 0.500 0.500 0.000


# 11
A relaxed structure of Zr4S5N. Source: Alexandria via LeMat-Bulk, functional PBE-GGA.

a = 8.026 Å, b = 8.026 Å, c = 7.154 Å
α = 102.22°, β = 102.22°, γ = 25.44°
Fractional positions:
Zr1 0.001 0.001 0.276
Zr2 0.349 0.349 0.423
Zr3 0.651 0.651 0.577
Zr4 0.999 0.999 0.724
S1 0.164 0.164 0.834
S2 0.171 0.171 0.324
S3 0.500 0.500 0.000
S4 0.829 0.829 0.676
S5 0.836 0.836 0.166
N1 0.500 0.500 0.500


# 12
A relaxed structure of ZrSN2. Source: Alexandria via LeMat-Bulk, functional PBE-GGA.

a = 4.436 Å, b = 4.436 Å, c = 11.727 Å
α = 90.00°, β = 90.00°, γ = 90.00°
Fractional positions:
Zr1 0.000 0.000 0.000
Zr2 0.000 0.500 0.250
Zr3 0.500 0.000 0.750
Zr4 0.500 0.500 0.500
S1 0.000 0.000 0.500
S2 0.000 0.500 0.750
S3 0.500 0.000 0.250
S4 0.500 0.500 0.000
N1 0.250 0.250 0.125
N2 0.250 0.250 0.625
N3 0.250 0.750 0.375
N4 0.250 0.750 0.875
N5 0.750 0.250 0.375
N6 0.750 0.250 0.875
N7 0.750 0.750 0.125
N8 0.750 0.750 0.625


In the order shown, the computed D(E_F) values come out to 3.17 3.55 2.57 5.21 1.09 1.24 0.48 1.02 3.41 0.89 2.58 1.66 states/eV/f.u..
In the order shown, the computed formation energy from raw total energies values come out to 854 -52 -18 311 -1543 -850 -919 -851 -224 583 -1549 337 meV/atom.